{"formula": "Sr3In7Hg4", "functional": "PBE-GGA", "state": "optimized geometry", "lattice_angstrom": [[4.7623, 0.0000, 1.2014], [1.8426, 8.7632, 2.7353], [0.1587, -0.2483, 9.4103]], "species": ["Sr", "Sr", "Sr", "In", "In", "In", "In", "In", "In", "In", "Hg", "Hg", "Hg", "Hg"], "frac_coords": [[0.3024, 0.1890, 0.2063], [0.6976, 0.8110, 0.7937], [0.0000, 0.5000, 0.5000], [0.3430, 0.7967, 0.5173], [0.4924, 0.1959, 0.8194], [0.8464, 0.3829, 0.9243], [0.6570, 0.2033, 0.4827], [0.1536, 0.6171, 0.0757], [0.0000, 0.0000, 0.0000], [0.5076, 0.8041, 0.1806], [0.6544, 0.4618, 0.2295], [0.3456, 0.5382, 0.7705], [0.8600, 0.9193, 0.3607], [0.1400, 0.0807, 0.6393]], "total_magnetization_mub_per_fu": 0.000, "n_ef_per_ev_atom": 0.4279, "vol_a3_per_atom": 28.12, "e_form_ev_per_atom": -0.336}

{"formula": "ZnCuSN2", "functional": "PBE-GGA", "state": "optimized geometry", "lattice_angstrom": [[-0.2933, -2.6179, 2.6690], [-0.2592, -2.6565, -2.6342], [5.4673, -0.5724, 0.0394]], "species": ["Zn", "S", "Cu", "N", "N"], "frac_coords": [[0.0000, 0.0000, 0.0000], [0.0000, 0.0000, 0.5000], [0.5000, 0.5000, 0.5000], [0.0000, 0.5000, 0.0000], [0.5000, 0.0000, 0.0000]], "total_magnetization_mub_per_fu": 3.393, "n_ef_per_ev_atom": 0.6333, "vol_a3_per_atom": 15.46, "raw_formation_energy_ev_per_atom": 1.57}